(1)
VASP calculation (PBEsol) on a relaxed structure of MnTc3.

Unit cell a=2.6760 b=4.2605 c=4.6136 alpha=90.00 beta=90.00 gamma=90.00
With the nearest neighbours (Å) after each atom.
Fractional positions:
Mn: 0.0000 0.0000 0.9974  10 Tc 2.62-2.69, 2 Mn 2.68
Tc: 0.0000 0.5000 0.3273  10 Tc 2.62-2.72, 2 Mn 2.62
Tc: 0.5000 0.5000 0.8398  8 Tc 2.62-2.72, 4 Mn 2.62
Tc: 0.5000 0.0000 0.5021  8 Tc 2.64-2.68, 4 Mn 2.65-2.69

Properties
- Size of the total moment: 0.00 μB/cell
- Energy: -10.82 eV per atom

(2)
VASP calculation (PBEsol) on a relaxed structure of MnTc.

Unit cell a=2.6201 b=4.1756 c=4.4963 alpha=90.00 beta=90.00 gamma=90.00
With the nearest neighbours (Å) after each atom.
Fractional positions:
Mn: 0.0000 0.0000 0.5789  6 Tc 2.53-2.67, 6 Mn 2.56-2.62
Mn: 0.5000 0.5000 0.4211  6 Tc 2.53-2.67, 6 Mn 2.56-2.62
Tc: 0.0000 0.5000 0.9031  6 Mn 2.53-2.67, 6 Tc 2.61-2.62
Tc: 0.5000 0.0000 0.0969  6 Mn 2.53-2.67, 6 Tc 2.61-2.62

Properties
- Size of the total moment: 0.01 μB/cell
- Energy: -10.40 eV per atom

(3)
VASP calculation (PBEsol) on a relaxed structure of MnTcTe2.

Unit cell a=3.3553 b=4.3454 c=5.8612 alpha=101.61 beta=90.00 gamma=112.71
With the nearest neighbours (Å) after each atom.
Fractional positions:
Te: 0.2570 0.5139 0.2604  3 Tc 2.72-2.73, 3 Mn 2.72-2.83
Te: 0.7430 0.4861 0.7396  3 Tc 2.72-2.73, 3 Mn 2.72-2.83
Mn: 0.5000 0.0000 0.0000  6 Te 2.72-2.83
Tc: 0.0000 0.0000 0.5000  6 Te 2.72-2.73

Properties
- Size of the total moment: 3.87 μB/cell
- Energy: -6.67 eV per atom
- E_form (uncorrected): 0.353 eV per atom

(4)
VASP calculation (PBEsol) on a relaxed structure of MnTcTe2.

Unit cell a=3.2449 b=3.2449 c=8.7406 alpha=79.30 beta=79.30 gamma=60.00
With the nearest neighbours (Å) after each atom.
Fractional positions:
Te: 0.0982 0.0982 0.7053  1 Tc 2.52, 3 Mn 2.57
Te: 0.9018 0.9018 0.2947  1 Tc 2.52, 3 Mn 2.57
Mn: 0.5000 0.5000 0.5000  6 Te 2.57
Tc: 0.0000 0.0000 0.0000  2 Te 2.52

Properties
- Size of the total moment: 1.79 μB/cell
- Energy: -6.40 eV per atom
- E_form (uncorrected): 0.620 eV per atom

(5)
VASP calculation (PBEsol) on a relaxed structure of MnTcTe2.

Unit cell a=4.6711 b=4.6711 c=4.6711 alpha=60.00 beta=60.00 gamma=60.00
With the nearest neighbours (Å) after each atom.
Fractional positions:
Mn: 0.0000 0.0000 0.0000  8 Te 2.86
Te: 0.7500 0.7500 0.7500  4 Tc 2.86, 4 Mn 2.86
Te: 0.2500 0.2500 0.2500  4 Tc 2.86, 4 Mn 2.86
Tc: 0.5000 0.5000 0.5000  8 Te 2.86

Properties
- Size of the total moment: 3.90 μB/cell
- Energy: -6.67 eV per atom
- E_form (uncorrected): 0.353 eV per atom

(6)
VASP calculation (PBEsol) on a relaxed structure of MnTlTc2.

Unit cell a=2.9174 b=2.9174 c=7.0934 alpha=90.00 beta=90.00 gamma=90.00
With the nearest neighbours (Å) after each atom.
Fractional positions:
Tl: 0.5000 0.5000 0.0000  4 Tl 2.92, 8 Tc 2.96
Mn: 0.5000 0.5000 0.5000  8 Tc 2.51
Tc: 0.0000 0.0000 0.7013  4 Mn 2.51
Tc: 0.0000 0.0000 0.2987  4 Mn 2.51

Properties
- Size of the total moment: 1.40 μB/cell
- Energy: -8.28 eV per atom

(7)
VASP calculation (PBEsol) on a relaxed structure of MnTlTc3.

Unit cell a=4.3962 b=4.3962 c=4.3962 alpha=90.00 beta=90.00 gamma=90.00
With the nearest neighbours (Å) after each atom.
Fractional positions:
Tc: 0.0000 0.5000 0.0000  2 Mn 2.20
Mn: 0.0000 0.0000 0.0000  6 Tc 2.20
Tc: 0.0000 0.0000 0.5000  2 Mn 2.20
Tl: 0.5000 0.5000 0.5000  12 Tc 3.11
Tc: 0.5000 0.0000 0.0000  2 Mn 2.20

Properties
- Size of the total moment: 0.88 μB/cell
- Energy: -8.01 eV per atom

(8)
VASP calculation (PBEsol) on a relaxed structure of MnTlTc2.

Unit cell a=4.4423 b=4.4423 c=4.4423 alpha=60.00 beta=60.00 gamma=60.00
With the nearest neighbours (Å) after each atom.
Fractional positions:
Tc: 0.0000 0.0000 0.0000  4 Tl 2.72, 4 Tc 2.72
Mn: 0.5000 0.5000 0.5000  4 Tc 2.72, 4 Tl 2.72
Tl: 0.2500 0.2500 0.2500  4 Mn 2.72, 4 Tc 2.72
Tc: 0.7500 0.7500 0.7500  4 Mn 2.72, 4 Tc 2.72

Properties
- Size of the total moment: 3.95 μB/cell
- Energy: -8.10 eV per atom

(9)
VASP calculation (PBEsol) on a relaxed structure of MnTl2Tc.

Unit cell a=2.9436 b=2.9689 c=8.4584 alpha=90.00 beta=99.96 gamma=90.00
With the nearest neighbours (Å) after each atom.
Fractional positions:
Tl: 0.1646 0.0000 0.9552  6 Tl 2.94-3.26, 4 Tc 3.01
Tl: 0.3407 0.5000 0.3039  4 Mn 2.91, 4 Tl 2.94-2.97
Mn: 0.9605 0.0000 0.5463  4 Tc 2.43
Tc: 0.5342 0.5000 0.6947  4 Mn 2.43

Properties
- Size of the total moment: 0.18 μB/cell
- Energy: -6.17 eV per atom

(10)
VASP calculation (PBEsol) on a relaxed structure of MnTcW.

Unit cell a=4.1266 b=4.1266 c=4.1266 alpha=60.00 beta=60.00 gamma=60.00
With the nearest neighbours (Å) after each atom.
Fractional positions:
Tc: 0.2500 0.2500 0.2500  4 Mn 2.53, 4 W 2.53
Mn: 0.5000 0.5000 0.5000  4 Tc 2.53
W: 0.0000 0.0000 0.0000  4 Tc 2.53

Properties
- Size of the total moment: 2.75 μB/cell
- Energy: -10.69 eV per atom

(11)
VASP calculation (PBEsol) on a relaxed structure of Mn2TcW.

Unit cell a=2.6119 b=4.7984 c=4.7984 alpha=114.61 beta=98.96 gamma=98.96
With the nearest neighbours (Å) after each atom.
Fractional positions:
Tc: 0.5000 0.0000 0.0000  4 Mn 2.55, 2 W 2.59, 2 Tc 2.61
Mn: 0.0000 0.0000 0.5000  2 Tc 2.55, 2 W 2.55, 4 Mn 2.59-2.61
W: 0.5000 0.5000 0.5000  4 Mn 2.55, 2 Tc 2.59, 2 W 2.61
Mn: 0.0000 0.5000 0.0000  2 W 2.55, 2 Tc 2.55, 4 Mn 2.59-2.61

Properties
- Size of the total moment: 3.34 μB/cell
- Energy: -10.99 eV per atom

(12)
VASP calculation (PBEsol) on a relaxed structure of MnTcW2.

Unit cell a=4.2998 b=4.2998 c=4.2998 alpha=60.00 beta=60.00 gamma=60.00
With the nearest neighbours (Å) after each atom.
Fractional positions:
Tc: 0.5000 0.5000 0.5000  8 W 2.63
W: 0.2500 0.2500 0.2500  4 Mn 2.63, 4 Tc 2.63
Mn: 0.0000 0.0000 0.0000  8 W 2.63
W: 0.7500 0.7500 0.7500  4 Mn 2.63, 4 Tc 2.63

Properties
- Size of the total moment: 0.70 μB/cell
- Energy: -12.02 eV per atom

(13)
VASP calculation (PBEsol) on a relaxed structure of Mn4TcW.

Unit cell a=4.6367 b=4.6367 c=4.6367 alpha=60.00 beta=60.00 gamma=60.00
With the nearest neighbours (Å) after each atom.
Fractional positions:
W: 0.0000 0.0000 0.0000  12 Mn 2.72, 4 Tc 2.84
Tc: 0.7500 0.7500 0.7500  12 Mn 2.72, 4 W 2.84
Mn: 0.8762 0.3746 0.3746  6 Mn 2.31-2.33
Mn: 0.3746 0.8762 0.3746  6 Mn 2.31-2.33
Mn: 0.3746 0.3746 0.8762  6 Mn 2.31-2.33
Mn: 0.3746 0.3746 0.3746  6 Mn 2.31-2.33

Properties
- Size of the total moment: 0.00 μB/cell
- Energy: -10.76 eV per atom

(14)
VASP calculation (PBEsol) on a relaxed structure of MnTc2W.

Unit cell a=2.6400 b=4.9791 c=5.0358 alpha=116.86 beta=100.48 gamma=99.33
With the nearest neighbours (Å) after each atom.
Fractional positions:
Tc: 0.0000 0.0000 0.5000  2 W 2.62, 2 Mn 2.62, 4 Tc 2.62-2.64
Tc: 0.5000 0.5000 0.5000  2 Mn 2.62, 2 W 2.62, 4 Tc 2.62-2.64
Mn: 0.0000 0.5000 0.0000  4 Tc 2.62, 2 W 2.62, 2 Mn 2.64
W: 0.5000 0.0000 0.0000  4 Tc 2.62, 2 Mn 2.62, 2 W 2.64

Properties
- Size of the total moment: 2.31 μB/cell
- Energy: -11.37 eV per atom

(15)
VASP calculation (PBEsol) on a relaxed structure of Mn2TcW.

Unit cell a=3.0108 b=3.0108 c=5.7370 alpha=90.00 beta=90.00 gamma=90.00
With the nearest neighbours (Å) after each atom.
Fractional positions:
Tc: 0.0000 0.0000 0.4847  5 Mn 2.54-2.74, 4 W 2.67
Mn: 0.5000 0.5000 0.2430  4 Mn 2.53, 4 Tc 2.54, 1 W 2.74
W: 0.5000 0.5000 0.7661  5 Mn 2.54-2.74, 4 Tc 2.67
Mn: 0.0000 0.0000 0.0062  4 Mn 2.53, 4 W 2.54, 1 Tc 2.74

Properties
- Size of the total moment: 2.99 μB/cell
- Energy: -11.03 eV per atom

(16)
VASP calculation (PBEsol) on a relaxed structure of Mn2TcW.

Unit cell a=4.1877 b=4.1877 c=4.1877 alpha=60.00 beta=60.00 gamma=60.00
With the nearest neighbours (Å) after each atom.
Fractional positions:
Tc: 0.0000 0.0000 0.0000  8 Mn 2.56
W: 0.5000 0.5000 0.5000  8 Mn 2.56
Mn: 0.2500 0.2500 0.2500  4 W 2.56, 4 Tc 2.56
Mn: 0.7500 0.7500 0.7500  4 Tc 2.56, 4 W 2.56

Properties
- Size of the total moment: 3.07 μB/cell
- Energy: -10.96 eV per atom

(17)
VASP calculation (PBEsol) on a relaxed structure of MnTcW2.

Unit cell a=2.6685 b=2.6685 c=8.4138 alpha=90.00 beta=90.00 gamma=108.10
With the nearest neighbours (Å) after each atom.
Fractional positions:
W: 0.0000 0.0000 0.0047  6 W 2.67-2.75, 2 Tc 2.70
W: 0.5000 0.5000 0.7356  2 Mn 2.56, 6 W 2.67-2.75
Tc: 0.5000 0.5000 0.2653  2 Mn 2.48, 4 Tc 2.67, 2 W 2.70
Mn: 0.0000 0.0000 0.4944  2 Tc 2.48, 2 W 2.56, 4 Mn 2.67

Properties
- Size of the total moment: 1.78 μB/cell
- Energy: -12.03 eV per atom

(18)
VASP calculation (PBEsol) on a relaxed structure of MnTc2W.

Unit cell a=2.6403 b=2.6403 c=8.3382 alpha=90.00 beta=90.00 gamma=108.19
With the nearest neighbours (Å) after each atom.
Fractional positions:
Tc: 0.5000 0.5000 0.7527  6 Tc 2.64-2.67, 2 W 2.69
Tc: 0.0000 0.0000 0.0133  2 Mn 2.48, 6 Tc 2.64-2.67
Mn: 0.5000 0.5000 0.2450  2 Tc 2.48, 2 W 2.56, 4 Mn 2.64
W: 0.0000 0.0000 0.4890  2 Mn 2.56, 4 W 2.64, 2 Tc 2.69

Properties
- Size of the total moment: 1.46 μB/cell
- Energy: -11.34 eV per atom

(19)
VASP calculation (PBEsol) on a relaxed structure of MnTc2W.

Unit cell a=3.7956 b=3.7956 c=4.6777 alpha=113.94 beta=113.94 gamma=90.00
With the nearest neighbours (Å) after each atom.
Fractional positions:
Mn: 0.2500 0.7500 0.5000  8 Tc 2.68-2.70, 4 W 2.70
W: 0.5000 0.5000 0.0000  8 Tc 2.68-2.70, 4 Mn 2.70
Tc: 0.7500 0.2500 0.5000  4 Mn 2.68, 4 W 2.70, 4 Tc 2.70
Tc: 0.0000 0.0000 0.0000  4 W 2.68, 4 Tc 2.70, 4 Mn 2.70

Properties
- Size of the total moment: 1.63 μB/cell
- Energy: -11.35 eV per atom

(20)
VASP calculation (PBEsol) on a relaxed structure of Mn2TcW.

Unit cell a=3.1483 b=4.0521 c=4.0521 alpha=90.00 beta=90.00 gamma=90.00
With the nearest neighbours (Å) after each atom.
Fractional positions:
Mn: 0.0000 0.0000 0.5000  4 W 2.57, 4 Tc 2.57, 4 Mn 2.87
Mn: 0.0000 0.5000 0.0000  4 W 2.57, 4 Tc 2.57, 4 Mn 2.87
Tc: 0.5000 0.5000 0.5000  8 Mn 2.57, 4 W 2.87
W: 0.5000 0.0000 0.0000  8 Mn 2.57, 4 Tc 2.87

Properties
- Size of the total moment: 2.95 μB/cell
- Energy: -10.98 eV per atom

(21)
VASP calculation (PBEsol) on a relaxed structure of Mn2TcW.

Unit cell a=2.6116 b=4.0301 c=5.0923 alpha=90.00 beta=102.70 gamma=90.00
With the nearest neighbours (Å) after each atom.
Fractional positions:
Mn: 0.2399 0.0000 0.2462  2 Tc 2.54, 4 Mn 2.54-2.64, 2 W 2.55
Mn: 0.7601 0.0000 0.7538  2 Tc 2.54, 4 Mn 2.54-2.64, 2 W 2.55
Tc: 0.5000 0.5000 0.0000  4 Mn 2.54, 2 W 2.59, 2 Tc 2.61
W: 0.0000 0.5000 0.5000  4 Mn 2.55, 2 Tc 2.59, 2 W 2.61

Properties
- Size of the total moment: 3.30 μB/cell
- Energy: -10.98 eV per atom

(22)
VASP calculation (PBEsol) on a relaxed structure of MnTc2W.

Unit cell a=3.0949 b=4.2557 c=4.2557 alpha=90.00 beta=90.00 gamma=90.00
With the nearest neighbours (Å) after each atom.
Fractional positions:
Tc: 0.0000 0.5000 0.0000  4 Mn 2.63, 4 W 2.63
W: 0.5000 0.5000 0.5000  8 Tc 2.63
Mn: 0.5000 0.0000 0.0000  8 Tc 2.63
Tc: 0.0000 0.0000 0.5000  4 W 2.63, 4 Mn 2.63

Properties
- Size of the total moment: 2.93 μB/cell
- Energy: -11.48 eV per atom

(23)
VASP calculation (PBEsol) on a relaxed structure of MnTc2W.

Unit cell a=3.0911 b=4.2578 c=4.9848 alpha=115.28 beta=108.06 gamma=90.00
With the nearest neighbours (Å) after each atom.
Fractional positions:
Tc: 0.9985 0.9985 0.9970  4 W 2.63, 2 Mn 2.64, 2 Tc 2.66
W: 0.5019 0.5019 0.0038  2 Mn 2.58, 6 Tc 2.61-2.63
Mn: 0.2457 0.7457 0.4914  2 W 2.58, 6 Tc 2.63-2.64
Tc: 0.7539 0.2539 0.5078  2 W 2.61, 4 Mn 2.63, 2 Tc 2.66

Properties
- Size of the total moment: 2.44 μB/cell
- Energy: -11.41 eV per atom

(24)
VASP calculation (PBEsol) on a relaxed structure of MnTc2W.

Unit cell a=3.0663 b=3.0663 c=5.8634 alpha=90.00 beta=90.00 gamma=90.00
With the nearest neighbours (Å) after each atom.
Fractional positions:
Tc: 0.5000 0.5000 0.2525  4 W 2.66, 4 Tc 2.69, 2 Mn 2.93-2.94
Mn: 0.5000 0.5000 0.7535  4 Tc 2.54, 4 W 2.58
Tc: 0.0000 0.0000 0.9801  4 Mn 2.54, 4 Tc 2.69, 1 W 2.73
W: 0.0000 0.0000 0.5139  4 Mn 2.58, 5 Tc 2.66-2.73

Properties
- Size of the total moment: 1.90 μB/cell
- Energy: -11.37 eV per atom

(25)
VASP calculation (PBEsol) on a relaxed structure of Y2MnTc.

Unit cell a=4.1240 b=4.1240 c=5.5299 alpha=111.89 beta=111.89 gamma=90.00
With the nearest neighbours (Å) after each atom.
Fractional positions:
Mn: 0.5000 0.5000 0.0000  8 Y 2.92-3.13, 4 Tc 3.13
Tc: 0.2500 0.7500 0.5000  8 Y 2.92-3.13, 4 Mn 3.13
Y: 0.7500 0.2500 0.5000  4 Tc 2.92, 4 Mn 3.13, 4 Y 3.13
Y: 0.0000 0.0000 0.0000  4 Mn 2.92, 4 Tc 3.13, 4 Y 3.13

Properties
- Size of the total moment: 3.71 μB/cell
- Energy: -8.25 eV per atom

(26)
VASP calculation (PBEsol) on a relaxed structure of Y2MnTc.

Unit cell a=4.7818 b=4.7818 c=4.7818 alpha=60.00 beta=60.00 gamma=60.00
With the nearest neighbours (Å) after each atom.
Fractional positions:
Y: 0.0000 0.0000 0.0000  4 Y 2.93, 4 Tc 2.93
Y: 0.7500 0.7500 0.7500  4 Y 2.93, 4 Mn 2.93
Mn: 0.5000 0.5000 0.5000  4 Tc 2.93, 4 Y 2.93
Tc: 0.2500 0.2500 0.2500  4 Mn 2.93, 4 Y 2.93

Properties
- Size of the total moment: 3.88 μB/cell
- Energy: -8.21 eV per atom

(27)
VASP calculation (PBEsol) on a relaxed structure of YMnTc3.

Unit cell a=4.4298 b=4.4298 c=4.4298 alpha=90.00 beta=90.00 gamma=90.00
With the nearest neighbours (Å) after each atom.
Fractional positions:
Tc: 0.0000 0.5000 0.0000  2 Mn 2.21
Y: 0.5000 0.5000 0.5000  12 Tc 3.13
Tc: 0.5000 0.0000 0.0000  2 Mn 2.21
Tc: 0.0000 0.0000 0.5000  2 Mn 2.21
Mn: 0.0000 0.0000 0.0000  6 Tc 2.21

Properties
- Size of the total moment: 0.00 μB/cell
- Energy: -9.42 eV per atom

(28)
VASP calculation (PBEsol) on a relaxed structure of Y2MnTc.

Unit cell a=4.8506 b=4.8506 c=4.8506 alpha=60.00 beta=60.00 gamma=60.00
With the nearest neighbours (Å) after each atom.
Fractional positions:
Y: 0.7500 0.7500 0.7500  4 Mn 2.97, 4 Tc 2.97
Y: 0.2500 0.2500 0.2500  4 Mn 2.97, 4 Tc 2.97
Mn: 0.5000 0.5000 0.5000  8 Y 2.97
Tc: 0.0000 0.0000 0.0000  8 Y 2.97

Properties
- Size of the total moment: 3.84 μB/cell
- Energy: -8.42 eV per atom

(29)
VASP calculation (PBEsol) on a relaxed structure of Y2MnTc.

Unit cell a=3.8467 b=3.8467 c=7.6660 alpha=75.47 beta=75.47 gamma=60.00
With the nearest neighbours (Å) after each atom.
Fractional positions:
Y: 0.7812 0.7812 0.6565  3 Mn 2.92, 3 Tc 3.14
Tc: 0.2152 0.2152 0.3544  3 Mn 2.24
Mn: 0.5339 0.5339 0.3984  3 Tc 2.24
Y: 0.9698 0.9698 0.0907  3 Tc 2.95, 3 Mn 3.17

Properties
- Size of the total moment: 0.00 μB/cell
- Energy: -8.60 eV per atom

(30)
VASP calculation (PBEsol) on a relaxed structure of MnZnTc.

Unit cell a=4.0358 b=4.0358 c=4.0358 alpha=60.00 beta=60.00 gamma=60.00
With the nearest neighbours (Å) after each atom.
Fractional positions:
Mn: 0.0000 0.0000 0.0000  4 Zn 2.47
Tc: 0.5000 0.5000 0.5000  4 Zn 2.47
Zn: 0.2500 0.2500 0.2500  4 Mn 2.47, 4 Tc 2.47

Properties
- Size of the total moment: 2.69 μB/cell
- Energy: -6.64 eV per atom

(31)
VASP calculation (PBEsol) on a relaxed structure of MnZnTc2.

Unit cell a=2.5757 b=2.5757 c=8.3544 alpha=90.00 beta=90.00 gamma=106.88
With the nearest neighbours (Å) after each atom.
Fractional positions:
Mn: 0.5000 0.5000 0.0000  4 Tc 2.51, 4 Mn 2.58
Zn: 0.5000 0.5000 0.5000  4 Zn 2.58, 4 Tc 2.67
Tc: 0.0000 0.0000 0.7622  2 Mn 2.51, 4 Tc 2.58, 2 Zn 2.67
Tc: 0.0000 0.0000 0.2378  2 Mn 2.51, 4 Tc 2.58, 2 Zn 2.67

Properties
- Size of the total moment: 1.91 μB/cell
- Energy: -8.32 eV per atom